# BaMg2Cd2

An optimized crystal structure of BaMg2Cd2 (PBE, the Alexandria database).

The calculation puts the formation energy at -0.11 eV/atom. The calculated total energy comes out at -14.94 eV/cell.

The space group is P4/mbm (No. 127) and the conventional cell measures 9.100, 9.100 and 3.254 Å, with angles of 90.00, 90.00 and 90.00 degrees. The asymmetric unit holds Ba at (0.000, 0.000, 0.000), Mg at (0.124, 0.376, 0.000) and Cd at (0.169, 0.669, 0.500).